VASP calculation (PBE) on crystalline RbTh2AgTe5 at its relaxed geometry.

```
RbTh2AgTe5
1.0
-5.181 -6.993 -1.039
6.595 -4.317 -3.834
1.699 2.777 9.815
Rb Th Ag Te
2 4 2 10
direct
0.250 0.250 0.500
0.750 0.750 0.500
0.158 0.342 0.000
0.658 0.158 0.000
0.342 0.842 0.000
0.842 0.658 0.000
0.250 0.750 0.500
0.750 0.250 0.500
0.974 0.474 0.240
0.734 0.234 0.760
0.026 0.526 0.760
0.234 0.026 0.760
0.526 0.734 0.760
0.766 0.974 0.240
0.474 0.266 0.240
0.266 0.766 0.240
0.500 0.500 0.000
0.000 0.000 0.000
```

## Properties
* total moment: 0.00 μB per formula unit
* E_form (uncorrected): -9.06 eV per formula unit


VASP calculation (PBE) on crystalline Cs2AcBO4 at its relaxed geometry.

```
Cs2AcBO4
1.0
5.587 0.000 0.000
2.793 5.942 0.000
2.793 0.000 13.039
Cs Ac B O
4 2 2 8
direct
0.183 0.000 0.634
0.817 0.000 0.366
0.567 0.500 0.866
0.933 0.500 0.134
0.750 0.500 0.500
0.000 0.000 0.000
0.250 0.500 0.500
0.500 0.000 0.000
0.390 0.845 0.067
0.302 0.155 0.933
0.765 0.845 0.933
0.543 0.155 0.067
0.360 0.655 0.433
0.448 0.345 0.567
0.985 0.655 0.567
0.207 0.345 0.433
```

## Properties
* total moment: 0.00 μB per formula unit
* E_form (uncorrected): -15.50 eV per formula unit


VASP calculation (PBE) on crystalline Zn2AgHg2 at its relaxed geometry.

```
Zn2AgHg2
1.0
-0.033 -0.640 -4.100
3.437 -2.302 0.331
-1.830 -6.624 -1.051
Zn Hg Ag
2 2 1
direct
0.406 0.406 0.189
0.594 0.594 0.811
0.750 0.250 0.500
0.250 0.750 0.500
0.000 0.000 0.000
```

## Properties
* energy of formation from the pure elements: 0.257 eV/atom
* total moment: 0.00 μB per formula unit
* distance to the lowest polymorph of the same formula: 141 meV per atom


VASP calculation (PBE) on crystalline ScTcOs2 at its relaxed geometry.

```
ScTcOs2
1.0
4.899 -0.006 0.000
1.764 4.570 0.000
-3.331 -2.282 2.773
Os Sc Tc
2 1 1
direct
0.000 0.000 0.000
0.250 0.750 0.500
0.500 0.500 0.000
0.750 0.250 0.500
```

## Properties
* energy of formation from the pure elements: 0.111 eV/atom
* total moment: 0.00 μB per formula unit
* distance to the lowest polymorph of the same formula: 178 meV per atom